Entry from Alexandria via LeMat-Bulk: CaCe4In5 after structural relaxation (PBE-GGA).

a b c (Å): 3.383 3.383 23.744
angles (deg): 90.00 90.00 90.00
Positions (direct):
Ca 0.000 0.000 0.000
Ce 0.000 0.000 0.200
Ce 0.000 0.000 0.400
Ce 0.000 0.000 0.600
Ce 0.000 0.000 0.800
In 0.500 0.500 0.100
In 0.500 0.500 0.300
In 0.500 0.500 0.500
In 0.500 0.500 0.700
In 0.500 0.500 0.900

energy of formation from the pure elements = -0.38 eV per atom
magnetic moment = 3.4 μB per formula unit
symmetry = P4/mmm, No. 123
total DFT energy (no corrections) = -43.19 eV per cell
DOS at the Fermi energy = 2.30 states/eV per atom

---

Entry from Alexandria via LeMat-Bulk: MgAlZn3 after structural relaxation (PBE-GGA).

a b c (Å): 4.883 4.883 4.883
angles (deg): 90.00 90.00 90.00
Positions (direct):
Mg 0.000 0.000 0.000
Al 0.500 0.500 0.500
Zn 0.000 0.500 0.500
Zn 0.500 0.000 0.500
Zn 0.500 0.500 0.000

energy of formation from the pure elements = 0.42 eV per atom
magnetic moment = 0.0 μB per formula unit
symmetry = Pm-3m, No. 221
relative energy among the computed polymorphs = 0.439 eV/atom
total DFT energy (no corrections) = -7.07 eV per cell
DOS at the Fermi energy = 0.50 states/eV per atom

---

Entry from Alexandria via LeMat-Bulk: GaOF3 after structural relaxation (PBE-GGA).

a b c (Å): 3.858 3.858 3.858
angles (deg): 90.00 90.00 90.00
Positions (direct):
Ga 0.000 0.000 0.000
O 0.500 0.500 0.500
F 0.000 0.000 0.500
F 0.000 0.500 0.000
F 0.500 0.000 0.000

formation energy (no corrections) = -1.37 eV per atom
magnetic moment = 2.0 μB per formula unit
symmetry = Pm-3m, No. 221
relative energy among the computed polymorphs = 0.571 eV/atom
total DFT energy (no corrections) = -20.43 eV per cell
DOS at the Fermi energy = 0.87 states/eV per atom

---

Entry from Alexandria via LeMat-Bulk: LiHBrO after structural relaxation (PBE-GGA).

a b c (Å): 2.912 2.912 6.909
angles (deg): 90.00 90.69 90.00
Positions (direct):
Li 0.000 0.000 0.000
H 0.507 0.500 0.187
Br 0.986 0.000 0.561
O 0.501 0.500 0.045

magnetic moment = 0.0 μB per formula unit
symmetry = Pm, No. 6
relative energy among the computed polymorphs = 0.020 eV/atom
total DFT energy (no corrections) = -16.03 eV per cell
DOS at the Fermi energy = 0.33 states/eV per atom

---

Entry from Alexandria via LeMat-Bulk: Pm4Cd5Pt6 after structural relaxation (PBE-GGA).

a b c (Å): 11.195 11.195 14.914
angles (deg): 90.00 90.00 158.79
Positions (direct):
Pm 0.020 0.980 0.500
Pm 0.055 0.945 0.766
Pm 0.133 0.867 0.279
Pm 0.179 0.821 0.937
Pm 0.821 0.179 0.437
Pm 0.867 0.133 0.779
Pm 0.945 0.055 0.266
Pm 0.980 0.020 0.000
Cd 0.180 0.820 0.605
Cd 0.312 0.688 0.611
Cd 0.318 0.682 0.260
Cd 0.353 0.647 0.955
Cd 0.463 0.537 0.659
Cd 0.537 0.463 0.159
Cd 0.647 0.353 0.455
Cd 0.682 0.318 0.760
Cd 0.688 0.312 0.111
Cd 0.820 0.180 0.105
Pt 0.101 0.899 0.088
Pt 0.230 0.770 0.427
Pt 0.268 0.732 0.787
Pt 0.412 0.588 0.123
Pt 0.421 0.579 0.417
Pt 0.460 0.540 0.850
Pt 0.540 0.460 0.350
Pt 0.579 0.421 0.917
Pt 0.588 0.412 0.623
Pt 0.732 0.268 0.287
Pt 0.770 0.230 0.927
Pt 0.899 0.101 0.588

energy of formation from the pure elements = -0.73 eV per atom
magnetic moment = 0.0 μB per formula unit
symmetry = Cmc2_1, No. 36
total DFT energy (no corrections) = -141.52 eV per cell
DOS at the Fermi energy = 0.45 states/eV per atom

---

Entry from Alexandria via LeMat-Bulk: CePrZnAg after structural relaxation (PBE-GGA).

a b c (Å): 7.450 7.450 7.450
angles (deg): 90.00 90.00 90.00
Positions (direct):
Ce 0.000 0.000 0.000
Ce 0.000 0.500 0.500
Ce 0.500 0.000 0.500
Ce 0.500 0.500 0.000
Pr 0.000 0.000 0.500
Pr 0.000 0.500 0.000
Pr 0.500 0.000 0.000
Pr 0.500 0.500 0.500
Zn 0.250 0.250 0.750
Zn 0.250 0.750 0.250
Zn 0.750 0.250 0.250
Zn 0.750 0.750 0.750
Ag 0.250 0.250 0.250
Ag 0.250 0.750 0.750
Ag 0.750 0.250 0.750
Ag 0.750 0.750 0.250

energy of formation from the pure elements = -0.16 eV per atom
magnetic moment = 1.5 μB per formula unit
symmetry = F-43m, No. 216
relative energy among the computed polymorphs = 0.025 eV/atom
total DFT energy (no corrections) = -61.96 eV per cell
DOS at the Fermi energy = 2.58 states/eV per atom

---

Entry from Alexandria via LeMat-Bulk: Th8SbOs3Se4 after structural relaxation (PBE-GGA).

a b c (Å): 8.706 8.706 8.706
angles (deg): 58.13 58.13 58.13
Positions (direct):
Th 0.219 0.754 0.754
Th 0.238 0.238 0.238
Th 0.246 0.246 0.781
Th 0.246 0.781 0.246
Th 0.754 0.219 0.754
Th 0.754 0.754 0.219
Th 0.762 0.762 0.762
Th 0.781 0.246 0.246
Sb 0.500 0.500 0.500
Os 0.000 0.000 0.500
Os 0.000 0.500 0.000
Os 0.500 0.000 0.000
Se 0.000 0.000 0.000
Se 0.000 0.500 0.500
Se 0.500 0.000 0.500
Se 0.500 0.500 0.000

formation energy (no corrections) = -1.01 eV per atom
magnetic moment = 0.0 μB per formula unit
symmetry = R-3m, No. 166
total DFT energy (no corrections) = -127.33 eV per cell
DOS at the Fermi energy = 0.68 states/eV per atom

---

Entry from Alexandria via LeMat-Bulk: K3Sm3VS8 after structural relaxation (PBE-GGA).

a b c (Å): 8.815 8.815 8.815
angles (deg): 53.79 53.79 53.79
Positions (direct):
K 0.000 0.500 0.500
K 0.500 0.000 0.500
K 0.500 0.500 0.000
Sm 0.000 0.000 0.500
Sm 0.000 0.500 0.000
Sm 0.500 0.000 0.000
V 0.500 0.500 0.500
S 0.236 0.236 0.236
S 0.266 0.710 0.710
S 0.290 0.290 0.734
S 0.290 0.734 0.290
S 0.710 0.266 0.710
S 0.710 0.710 0.266
S 0.734 0.290 0.290
S 0.764 0.764 0.764

formation energy (no corrections) = -1.58 eV per atom
magnetic moment = 1.0 μB per formula unit
symmetry = R-3m, No. 166
total DFT energy (no corrections) = -83.22 eV per cell
DOS at the Fermi energy = 0.42 states/eV per atom